Entry 1:
# Li2LaThAu4 (PBE, relaxed)
data_Li2LaThAu4
_chemical_formula_sum 'Li6 La3 Th3 Au12'
_cell_length_a 5.1584
_cell_length_b 5.1584
_cell_length_c 23.4916
_cell_angle_alpha 90.00
_cell_angle_beta 90.00
_cell_angle_gamma 120.00
_space_group_name_H-M_alt 'R -3 m'
_space_group_IT_number 166
_space_group_name_Hall '-R 3 2"'
loop_
_atom_site_label
_atom_site_type_symbol
_atom_site_fract_x
_atom_site_fract_y
_atom_site_fract_z
Li1 Li 0.0000 0.0000 0.2488
La1 La 0.0000 0.0000 0.5000
Th1 Th 0.0000 0.0000 0.0000
Au1 Au 0.0000 0.0000 0.1301
Au2 Au 0.0000 0.0000 0.3645
# E = -4.30 eV per atom
# E_form = -0.640 eV/atom



Entry 2:
# Ba2NdTl2O6 (PBE, relaxed)
data_Ba2NdTl2O6
_chemical_formula_sum 'Ba6 Nd3 Tl6 O18'
_cell_length_a 6.5802
_cell_length_b 6.5802
_cell_length_c 18.6939
_cell_angle_alpha 90.00
_cell_angle_beta 90.00
_cell_angle_gamma 120.00
_space_group_name_H-M_alt 'R -3 m'
_space_group_IT_number 166
_space_group_name_Hall '-R 3 2"'
loop_
_atom_site_label
_atom_site_type_symbol
_atom_site_fract_x
_atom_site_fract_y
_atom_site_fract_z
Ba1 Ba 0.0000 0.0000 0.1982
Nd1 Nd 0.0000 0.0000 0.0000
Tl1 Tl 0.0000 0.0000 0.4025
O1 O 0.0362 0.5181 0.7566
# E = -5.68 eV per atom



Entry 3:
# LiCaTl4 (PBE, relaxed)
data_LiCaTl4
_chemical_formula_sum 'Li4 Ca4 Tl16'
_cell_length_a 9.024
_cell_length_b 9.024
_cell_length_c 9.024
_cell_angle_alpha 90.00
_cell_angle_beta 90.00
_cell_angle_gamma 90.00
_space_group_name_H-M_alt 'F -4 3 m'
_space_group_IT_number 216
_space_group_name_Hall 'F -4 2 3'
loop_
_atom_site_label
_atom_site_type_symbol
_atom_site_fract_x
_atom_site_fract_y
_atom_site_fract_z
Li1 Li 0.000 0.000 0.000
Ca1 Ca 0.250 0.250 0.250
Tl1 Tl 0.125 0.125 0.625
# E = -2.28 eV per atom
# E_form = -0.046 eV/atom



| no. | V (Å³ per atom) | spin magnetization (μB/f.u.) | Fermi-level density of states (states/eV/f.u.) |
| --- | --- | --- | --- |
| 1 | 22.6 | 0.0 | 5.51 |
| 2 | 21.2 | 0.0 | 4.07 |
| 3 | 30.6 | 0.0 | 4.05 |